Density functional theory data (GGA-PBE) for LiCuB2 after structural relaxation.

Lattice parameters (Å, degrees): 5.0946 5.0946 5.0946 90.00 90.00 90.00
Closest atoms and distances in Å follow each position.
Space group Fm-3m (No. 225)
Inequivalent atoms, fractional coordinates:
Li  0.0000  0.0000  0.0000 (multiplicity 4)  8 B 2.21
Cu  0.0000  0.0000  0.5000 (multiplicity 4)  8 B 2.21
B  0.2500  0.2500  0.2500 (multiplicity 8)  4 Li 2.21, 4 Cu 2.21

## Properties
Total DFT energy (no corrections): -4.2100 eV/atom
Distance to the lowest polymorph of the same formula: 388 meV/atom
M_tot: 0.00 Bohr magnetons per cell